Record 1
Entry from the Alexandria database: a relaxed Sm4Tm2Ge3O2 crystal (PBE).

a = 4.6365 Å, b = 4.6365 Å, c = 12.3082 Å
α = 100.86°, β = 100.86°, γ = 90.00°
Closest atoms and distances in Å follow each position.
Sites, in units of the cell vectors:
O  0.6068  0.6068  0.2135  1 Tm 2.20, 4 Sm 2.39
Ge  0.8221  0.8221  0.6441  1 Tm 2.91, 4 Sm 3.25
Ge  0.0000  0.0000  0.0000  8 Sm 3.02
Tm  0.3005  0.3005  0.6009  1 O 2.20
Sm  0.0818  0.5818  0.1636  2 O 2.39
Sm  0.5818  0.0818  0.1636  2 O 2.39
Sm  0.9182  0.4182  0.8364  2 O 2.39
Sm  0.4182  0.9182  0.8364  2 O 2.39
Tm  0.6995  0.6995  0.3991  1 O 2.20
Ge  0.1779  0.1779  0.3559  1 Tm 2.91, 4 Sm 3.25
O  0.3932  0.3932  0.7865  1 Tm 2.20, 4 Sm 2.39

***

Record 2
Entry from the Alexandria database: a relaxed Sm2Y4Ge3O2 crystal (PBE).

a = 4.5689 Å, b = 4.5689 Å, c = 12.4312 Å
α = 100.59°, β = 100.59°, γ = 90.00°
Closest atoms and distances in Å follow each position.
Sites, in units of the cell vectors:
Sm  0.6979  0.6979  0.3959  1 O 2.48
Y  0.4199  0.9199  0.8398  2 O 2.31
Y  0.9199  0.4199  0.8398  2 O 2.31
Sm  0.3021  0.3021  0.6041  1 O 2.48
Ge  0.1740  0.1740  0.3479  5 Sm 3.08-3.28, 4 Y 3.21
Y  0.5801  0.0801  0.1602  2 O 2.31
O  0.4055  0.4055  0.8109  4 Y 2.31, 1 Sm 2.48
O  0.5945  0.5945  0.1891  4 Y 2.31, 1 Sm 2.48
Ge  0.0000  0.0000  0.0000  8 Y 2.99
Y  0.0801  0.5801  0.1602  2 O 2.31
Ge  0.8260  0.8260  0.6521  5 Sm 3.08-3.28, 4 Y 3.21

***

Record 3
Entry from the Alexandria database: a relaxed Sm4Y2Ge3O2 crystal (PBE).

a = 4.6452 Å, b = 4.6452 Å, c = 12.4180 Å
α = 100.78°, β = 100.78°, γ = 90.00°
Closest atoms and distances in Å follow each position.
Sites, in units of the cell vectors:
Sm  0.9190  0.4190  0.8380  2 O 2.39
Sm  0.5810  0.0810  0.1620  2 O 2.39
Y  0.6992  0.6992  0.3985  1 O 2.27
Sm  0.4190  0.9190  0.8380  2 O 2.39
Ge  0.1772  0.1772  0.3544  1 Y 2.96, 4 Sm 3.27
Ge  0.8228  0.8228  0.6456  1 Y 2.96, 4 Sm 3.27
Sm  0.0810  0.5810  0.1620  2 O 2.39
O  0.3956  0.3956  0.7913  1 Y 2.27, 4 Sm 2.39
Ge  0.0000  0.0000  0.0000  8 Sm 3.03
O  0.6044  0.6044  0.2087  1 Y 2.27, 4 Sm 2.39
Y  0.3008  0.3008  0.6015  1 O 2.27

***

Record 4
Entry from the Alexandria database: a relaxed SmZrGe2O8 crystal (PBE).

a = 5.9216 Å, b = 5.9216 Å, c = 5.9216 Å
α = 107.22°, β = 107.22°, γ = 114.07°
Closest atoms and distances in Å follow each position.
Sites, in units of the cell vectors:
O  0.7657  0.0722  0.6936  1 Ge 1.78
O  0.3051  0.4808  0.1757  1 Ge 1.76
O  0.3786  0.0722  0.3064  1 Ge 1.78
Ge  0.7500  0.2500  0.5000  4 O 1.78
Zr  0.0000  0.0000  0.0000  8 O 2.20-2.32
O  0.8706  0.6949  0.1757  1 Ge 1.76
Sm  0.2500  0.7500  0.5000  8 O 2.31-2.48
O  0.3051  0.1294  0.8243  1 Ge 1.76
Ge  0.5000  0.5000  0.0000  4 O 1.76
O  0.9278  0.2343  0.3064  1 Ge 1.78
O  0.5192  0.6949  0.8243  1 Ge 1.76
O  0.9278  0.6214  0.6936  1 Ge 1.78

***

Record order is preserved below.
Uncorrected energy: -6.1856; -6.9447; -6.5704; -7.4862 eV/atom